(1)
Material: BeAgRuS2
Method: DFT, PBEsol
State: relaxed

Computed properties:
- formation energy from raw total energies (eV per atom) = 1.676
- Fermi-level density of states (states/eV per atom) = 0.68
- energy (eV per atom) = -3.574
- calculated volume (Å³ per cell) = 103.6

a = 4.574 Å, b = 4.574 Å, c = 4.949 Å
α = 90.00°, β = 90.00°, γ = 90.00°
Element x y z (fractional)
Be 0.500 0.500 0.500
S 0.500 0.000 0.000
Ag 0.000 0.000 0.000
Ru 0.000 0.000 0.500
S 0.000 0.500 0.000

(2)
Material: BeMoCl2
Method: DFT, PBEsol
State: relaxed

Computed properties:
- formation energy from raw total energies (eV per atom) = -0.014
- Fermi-level density of states (states/eV per atom) = 0.55
- energy (eV per atom) = -4.960
- calculated volume (Å³ per cell) = 57.4

a = 2.991 Å, b = 2.991 Å, c = 7.609 Å
α = 78.66°, β = 78.66°, γ = 60.00°
Element x y z (fractional)
Cl 0.108 0.108 0.677
Mo 0.000 0.000 0.000
Be 0.500 0.500 0.500
Cl 0.892 0.892 0.323

(3)
Material: CaZrCd2
Method: DFT, PBEsol
State: relaxed

Computed properties:
- Fermi-level density of states (states/eV per atom) = 1.22
- energy (eV per atom) = -3.375
- calculated volume (Å³ per cell) = 95.1
- ΔE_f (eV per atom) = 0.0295

a = 3.268 Å, b = 3.268 Å, c = 10.449 Å
α = 81.00°, β = 81.00°, γ = 60.00°
Element x y z (fractional)
Cd 0.247 0.247 0.259
Ca 0.000 0.000 0.000
Zr 0.500 0.500 0.500
Cd 0.753 0.753 0.741

(4)
Material: NbRuBr2
Method: DFT, PBEsol
State: relaxed

Computed properties:
- formation energy from raw total energies (eV per atom) = 0.675
- Fermi-level density of states (states/eV per atom) = 1.30
- energy (eV per atom) = -5.509
- calculated volume (Å³ per cell) = 76.6

a = 3.181 Å, b = 3.181 Å, c = 8.930 Å
α = 79.74°, β = 79.74°, γ = 60.00°
Element x y z (fractional)
Nb 0.000 0.000 0.000
Ru 0.500 0.500 0.500
Br 0.096 0.096 0.713
Br 0.904 0.904 0.287

(5)
Material: Ba3NaNi
Method: DFT, PBEsol
State: relaxed

Computed properties:
- Fermi-level density of states (states/eV per atom) = 0.73
- energy (eV per atom) = -2.759
- calculated volume (Å³ per cell) = 224.1
- ΔE_f (eV per atom) = 0.0417

a = 6.074 Å, b = 6.074 Å, c = 6.074 Å
α = 90.00°, β = 90.00°, γ = 90.00°
Element x y z (fractional)
Ba 0.000 0.500 0.000
Ni 0.000 0.000 0.000
Na 0.500 0.500 0.500
Ba 0.500 0.000 0.000
Ba 0.000 0.000 0.500

(6)
Material: CrFe3Tc
Method: DFT, PBEsol
State: relaxed

Computed properties:
- Fermi-level density of states (states/eV per atom) = 0.97
- energy (eV per atom) = -8.348
- calculated volume (Å³ per cell) = 66.4
- ΔE_f (eV per atom) = 1.3319

a = 4.049 Å, b = 4.049 Å, c = 4.049 Å
α = 90.00°, β = 90.00°, γ = 90.00°
Element x y z (fractional)
Fe 0.000 0.000 0.500
Cr 0.000 0.000 0.000
Fe 0.000 0.500 0.000
Tc 0.500 0.500 0.500
Fe 0.500 0.000 0.000

(7)
Material: Zn2MoOs
Method: DFT, PBEsol
State: relaxed

Computed properties:
- Fermi-level density of states (states/eV per atom) = 0.73
- energy (eV per atom) = -6.618
- calculated volume (Å³ per cell) = 56.5
- ΔE_f (eV per atom) = 0.1688

a = 2.754 Å, b = 4.581 Å, c = 4.738 Å
α = 97.42°, β = 90.00°, γ = 107.49°
Element x y z (fractional)
Zn 0.749 0.499 0.228
Os 0.252 0.504 0.731
Mo 0.502 0.003 0.522
Zn 0.997 0.994 0.019

(8)
Material: NiSbH2S
Method: DFT, PBEsol
State: relaxed

Computed properties:
- Fermi-level density of states (states/eV per atom) = 0.43
- energy (eV per atom) = -4.008
- calculated volume (Å³ per cell) = 70.1

a = 3.455 Å, b = 3.455 Å, c = 5.870 Å
α = 90.00°, β = 90.00°, γ = 90.00°
Element x y z (fractional)
H 0.000 0.500 0.000
Ni 0.500 0.500 0.500
H 0.500 0.000 0.000
S 0.000 0.000 0.000
Sb 0.000 0.000 0.500

(9)
Material: La4ScIn
Method: DFT, PBEsol
State: relaxed

Computed properties:
- Fermi-level density of states (states/eV per atom) = 1.72
- energy (eV per atom) = -4.957
- calculated volume (Å³ per cell) = 187.0
- ΔE_f (eV per atom) = 0.2054

a = 6.419 Å, b = 6.419 Å, c = 6.419 Å
α = 60.00°, β = 60.00°, γ = 60.00°
Element x y z (fractional)
La 0.374 0.877 0.374
La 0.374 0.374 0.374
Sc 0.750 0.750 0.750
La 0.877 0.374 0.374
In 0.000 0.000 0.000
La 0.374 0.374 0.877

(10)
Material: CaOF3
Method: DFT, PBEsol
State: relaxed

Computed properties:
- formation energy from raw total energies (eV per atom) = -1.531
- Fermi-level density of states (states/eV per atom) = 0.04
- energy (eV per atom) = -4.164
- calculated volume (Å³ per cell) = 59.5

a = 3.904 Å, b = 3.904 Å, c = 3.904 Å
α = 90.00°, β = 90.00°, γ = 90.00°
Element x y z (fractional)
F 0.000 0.500 0.500
O 0.500 0.500 0.500
F 0.500 0.500 0.000
F 0.500 0.000 0.500
Ca 0.000 0.000 0.000

(11)
Material: YPt2
Method: DFT, PBEsol
State: relaxed

Computed properties:
- Fermi-level density of states (states/eV per atom) = 0.36
- energy (eV per atom) = -7.971
- calculated volume (Å³ per cell) = 213.7
- ΔE_f (eV per atom) = -1.0550

a = 4.075 Å, b = 4.075 Å, c = 13.186 Å
α = 98.89°, β = 98.89°, γ = 90.00°
Element x y z (fractional)
Y 0.924 0.924 0.848
Pt 0.500 0.000 0.001
Y 0.326 0.826 0.652
Pt 0.250 0.250 0.501
Pt 0.832 0.332 0.664
Y 0.174 0.674 0.348
Pt 0.000 0.500 0.999
Pt 0.668 0.168 0.336
Y 0.076 0.076 0.152
Pt 0.418 0.418 0.836
Pt 0.582 0.582 0.164
Pt 0.750 0.750 0.499

(12)
Material: Cd3Pt
Method: DFT, PBEsol
State: relaxed

Computed properties:
- Fermi-level density of states (states/eV per atom) = 0.34
- energy (eV per atom) = -2.773
- calculated volume (Å³ per cell) = 72.2
- ΔE_f (eV per atom) = -0.1342

a = 2.982 Å, b = 5.069 Å, c = 5.069 Å
α = 109.50°, β = 90.00°, γ = 90.00°
Element x y z (fractional)
Cd 0.000 0.000 0.000
Cd 0.500 0.500 0.000
Pt 0.000 0.500 0.500
Cd 0.500 0.000 0.500

(13)
Material: Ca2MnCl
Method: DFT, PBEsol
State: relaxed

Computed properties:
- formation energy from raw total energies (eV per atom) = -0.401
- Fermi-level density of states (states/eV per atom) = 0.81
- energy (eV per atom) = -4.410
- calculated volume (Å³ per cell) = 94.0

a = 3.429 Å, b = 3.429 Å, c = 7.992 Å
α = 90.00°, β = 90.00°, γ = 90.00°
Element x y z (fractional)
Mn 0.500 0.500 0.500
Ca 0.000 0.000 0.740
Ca 0.000 0.000 0.260
Cl 0.500 0.500 0.000

(14)
Material: CdAsW2
Method: DFT, PBEsol
State: relaxed

Computed properties:
- Fermi-level density of states (states/eV per atom) = 0.91
- energy (eV per atom) = -7.953
- calculated volume (Å³ per cell) = 65.6
- ΔE_f (eV per atom) = 0.5266

a = 3.054 Å, b = 3.054 Å, c = 7.028 Å
α = 90.00°, β = 90.00°, γ = 90.00°
Element x y z (fractional)
As 0.500 0.500 0.000
Cd 0.500 0.500 0.500
W 0.000 0.000 0.797
W 0.000 0.000 0.203

(15)
Material: TiNbCo2Ag
Method: DFT, PBEsol
State: relaxed

Computed properties:
- Fermi-level density of states (states/eV per atom) = 1.20
- energy (eV per atom) = -6.512
- calculated volume (Å³ per cell) = 80.6
- ΔE_f (eV per atom) = 1.0737

a = 4.123 Å, b = 4.123 Å, c = 4.741 Å
α = 90.00°, β = 90.00°, γ = 90.00°
Element x y z (fractional)
Co 0.500 0.000 0.000
Ag 0.000 0.000 0.500
Ti 0.000 0.000 0.000
Nb 0.500 0.500 0.500
Co 0.000 0.500 0.000

(16)
Material: Y4MgRe
Method: DFT, PBEsol
State: relaxed

Computed properties:
- Fermi-level density of states (states/eV per atom) = 1.24
- energy (eV per atom) = -6.191
- calculated volume (Å³ per cell) = 149.7
- ΔE_f (eV per atom) = 0.8649

a = 5.960 Å, b = 5.960 Å, c = 5.960 Å
α = 60.00°, β = 60.00°, γ = 60.00°
Element x y z (fractional)
Y 0.881 0.373 0.373
Y 0.373 0.881 0.373
Mg 0.750 0.750 0.750
Re 0.000 0.000 0.000
Y 0.373 0.373 0.373
Y 0.373 0.373 0.881

(17)
Material: W3CSe
Method: DFT, PBEsol
State: relaxed

Computed properties:
- formation energy from raw total energies (eV per atom) = 0.668
- Fermi-level density of states (states/eV per atom) = 0.69
- energy (eV per atom) = -10.316
- calculated volume (Å³ per cell) = 72.5

a = 4.169 Å, b = 4.169 Å, c = 4.169 Å
α = 90.00°, β = 90.00°, γ = 90.00°
Element x y z (fractional)
C 0.000 0.000 0.000
W 0.000 0.000 0.500
Se 0.500 0.500 0.500
W 0.000 0.500 0.000
W 0.500 0.000 0.000

(18)
Material: Cl
Method: DFT, PBEsol
State: relaxed

Computed properties:
- formation energy from raw total energies (eV per atom) = 0.168
- Fermi-level density of states (states/eV per atom) = 0.84
- energy (eV per atom) = -1.840
- calculated volume (Å³ per cell) = 25.9

a = 2.250 Å, b = 3.395 Å, c = 3.954 Å
α = 115.42°, β = 106.53°, γ = 90.00°
Element x y z (fractional)
Cl 0.000 0.500 0.000

(19)
Material: LiSiRh2
Method: DFT, PBEsol
State: relaxed

Computed properties:
- formation energy from raw total energies (eV per atom) = -0.383
- Fermi-level density of states (states/eV per atom) = 0.44
- energy (eV per atom) = -6.380
- calculated volume (Å³ per cell) = 48.9

a = 2.993 Å, b = 2.993 Å, c = 5.462 Å
α = 90.00°, β = 90.00°, γ = 90.00°
Element x y z (fractional)
Si 0.000 0.000 0.510
Rh 0.500 0.500 0.287
Rh 0.000 0.000 0.951
Li 0.500 0.500 0.752

(20)
Material: KSiSb2I
Method: DFT, PBEsol
State: relaxed

Computed properties:
- formation energy from raw total energies (eV per atom) = 1.403
- Fermi-level density of states (states/eV per atom) = 1.50
- energy (eV per atom) = -2.149
- calculated volume (Å³ per cell) = 193.2

a = 5.799 Å, b = 5.772 Å, c = 5.772 Å
α = 90.00°, β = 90.00°, γ = 90.00°
Element x y z (fractional)
Si 0.500 0.500 0.500
Sb 0.000 0.000 0.500
K 0.000 0.000 0.000
Sb 0.000 0.500 0.000
I 0.500 0.000 0.000

(21)
Material: Ca2MoAu
Method: DFT, PBEsol
State: relaxed

Computed properties:
- Fermi-level density of states (states/eV per atom) = 0.99
- energy (eV per atom) = -4.477
- calculated volume (Å³ per cell) = 84.7
- ΔE_f (eV per atom) = 0.5125

a = 3.183 Å, b = 5.309 Å, c = 5.455 Å
α = 104.88°, β = 90.00°, γ = 107.44°
Element x y z (fractional)
Ca 0.739 0.478 0.747
Mo 0.500 0.000 0.000
Au 0.000 0.000 0.500
Ca 0.261 0.522 0.253

(22)
Material: CsGa2Si
Method: DFT, PBEsol
State: relaxed

Computed properties:
- formation energy from raw total energies (eV per atom) = 0.460
- Fermi-level density of states (states/eV per atom) = 0.54
- energy (eV per atom) = -2.882
- calculated volume (Å³ per cell) = 96.6

a = 5.150 Å, b = 5.150 Å, c = 5.150 Å
α = 60.00°, β = 60.00°, γ = 60.00°
Element x y z (fractional)
Ga 0.250 0.250 0.250
Cs 0.500 0.500 0.500
Si 0.000 0.000 0.000
Ga 0.750 0.750 0.750

(23)
Material: Sm2Mn3Cu9P7
Method: DFT, PBEsol
State: relaxed

Computed properties:
- Fermi-level density of states (states/eV per atom) = 0.37
- energy (eV per atom) = -6.119
- calculated volume (Å³ per cell) = 282.3
- ΔE_f (eV per atom) = -0.4513

a = 3.728 Å, b = 9.352 Å, c = 9.351 Å
α = 120.02°, β = 90.00°, γ = 90.00°
Element x y z (fractional)
Mn 0.500 0.871 0.086
Mn 0.500 0.914 0.785
Cu 0.000 0.161 0.882
Cu 0.500 0.574 0.616
P 0.000 0.874 0.281
Cu 0.000 0.721 0.839
P 0.000 0.000 0.000
P 0.000 0.719 0.593
Cu 0.000 0.118 0.278
Cu 0.500 0.042 0.426
Mn 0.500 0.215 0.129
Cu 0.000 0.616 0.048
Cu 0.000 0.952 0.568
Sm 0.000 0.333 0.667
Cu 0.500 0.384 0.958
P 0.500 0.118 0.707
P 0.500 0.293 0.411
Cu 0.000 0.432 0.384
Sm 0.500 0.667 0.333
P 0.000 0.407 0.126
P 0.500 0.589 0.882

(24)
Material: KMoPd2
Method: DFT, PBEsol
State: relaxed

Computed properties:
- Fermi-level density of states (states/eV per atom) = 0.98
- energy (eV per atom) = -5.266
- calculated volume (Å³ per cell) = 71.6
- ΔE_f (eV per atom) = 0.9390

a = 4.662 Å, b = 4.662 Å, c = 4.662 Å
α = 60.00°, β = 60.00°, γ = 60.00°
Element x y z (fractional)
Pd 0.250 0.250 0.250
Mo 0.500 0.500 0.500
K 0.000 0.000 0.000
Pd 0.750 0.750 0.750

(25)
Material: NaCd2Sb2
Method: DFT, PBEsol
State: relaxed

Computed properties:
- formation energy from raw total energies (eV per atom) = -0.120
- Fermi-level density of states (states/eV per atom) = 0.36
- energy (eV per atom) = -2.701
- calculated volume (Å³ per cell) = 138.1

a = 4.431 Å, b = 4.431 Å, c = 7.700 Å
α = 106.72°, β = 106.72°, γ = 90.00°
Element x y z (fractional)
Cd 0.250 0.750 0.500
Cd 0.750 0.250 0.500
Na 0.000 0.000 0.000
Sb 0.614 0.614 0.229
Sb 0.386 0.386 0.771

(26)
Material: IrWCl2
Method: DFT, PBEsol
State: relaxed

Computed properties:
- formation energy from raw total energies (eV per atom) = 1.322
- Fermi-level density of states (states/eV per atom) = 1.35
- energy (eV per atom) = -5.590
- calculated volume (Å³ per cell) = 62.3

a = 3.892 Å, b = 3.892 Å, c = 4.113 Å
α = 90.00°, β = 90.00°, γ = 90.00°
Element x y z (fractional)
Ir 0.500 0.500 0.500
W 0.000 0.000 0.500
Cl 0.500 0.000 0.000
Cl 0.000 0.500 0.000

(27)
Material: InCuOs2
Method: DFT, PBEsol
State: relaxed

Computed properties:
- Fermi-level density of states (states/eV per atom) = 0.75
- energy (eV per atom) = -7.557
- calculated volume (Å³ per cell) = 60.0
- ΔE_f (eV per atom) = 0.3801

a = 2.794 Å, b = 2.794 Å, c = 9.026 Å
α = 81.10°, β = 81.10°, γ = 60.00°
Element x y z (fractional)
Os 0.749 0.749 0.752
Os 0.006 0.006 0.981
In 0.248 0.248 0.256
Cu 0.496 0.496 0.511

(28)
Material: BaNi2Sn2
Method: DFT, PBEsol
State: relaxed

Computed properties:
- Fermi-level density of states (states/eV per atom) = 0.78
- energy (eV per atom) = -4.977
- calculated volume (Å³ per cell) = 112.4
- ΔE_f (eV per atom) = -0.3809

a = 4.525 Å, b = 4.525 Å, c = 6.356 Å
α = 110.85°, β = 110.85°, γ = 90.00°
Element x y z (fractional)
Sn 0.351 0.351 0.702
Ba 0.000 0.000 0.000
Ni 0.250 0.750 0.500
Ni 0.750 0.250 0.500
Sn 0.649 0.649 0.298